# 1
Material: NbIrRh3
Method: DFT, GGA-PBE
State: relaxed

Properties
M_tot, μB per atom: 0.1764
ΔE_f, meV/atom: 787.5
Space group: R-3m (166)
D(E_F), states/eV/cell: 8.96

Cell lengths 5.103, 5.103, 5.103 Å; angles 62.71, 62.71, 62.71 degrees
Sites, in units of the cell vectors:
Nb (0.000, 0.000, 0.000)
Ir (0.500, 0.500, 0.500)
Rh (0.000, 0.500, 0.500)
Rh (0.500, 0.000, 0.500)
Rh (0.500, 0.500, 0.000)

# 2
Material: Cr2NiOs
Method: DFT, GGA-PBE
State: relaxed

Properties
M_tot, μB per atom: 0.0000
ΔE_f, meV/atom: 150.5
Space group: Pm (6)
D(E_F), states/eV/cell: 5.04

Cell lengths 2.544, 3.874, 5.074 Å; angles 90.00, 100.19, 90.00 degrees
Sites, in units of the cell vectors:
Cr (0.000, 0.000, 0.000)
Cr (0.371, 0.500, 0.242)
Ni (0.912, 0.000, 0.485)
Os (0.512, 0.500, 0.742)

# 3
Material: AlTcOs2
Method: DFT, GGA-PBE
State: relaxed

Properties
M_tot, μB per atom: 0.0002
ΔE_f, meV/atom: 20.9
Space group: Cmmm (65)
D(E_F), states/eV/cell: 4.55

Cell lengths 4.630, 4.630, 2.787 Å; angles 90.00, 90.00, 105.74 degrees
Sites, in units of the cell vectors:
Al (0.000, 0.000, 0.000)
Tc (0.500, 0.500, 0.000)
Os (0.000, 0.500, 0.500)
Os (0.500, 0.000, 0.500)

# 4
Material: MgSbO2F
Method: DFT, GGA-PBE
State: relaxed

Properties
M_tot, μB per atom: 0.0000
Formation energy (no corrections), eV/atom: -1.708
Space group: P4/mmm (123)
D(E_F), states/eV/cell: 0.05

Cell lengths 4.024, 4.024, 3.675 Å; angles 90.00, 90.00, 90.00 degrees
Sites, in units of the cell vectors:
Mg (0.000, 0.000, 0.000)
Sb (0.500, 0.500, 0.500)
O (0.000, 0.500, 0.000)
O (0.500, 0.000, 0.000)
F (0.000, 0.000, 0.500)

Which of these has the highest M_tot? NbIrRh3

What did the first record say?
Material: NbIrRh3
Method: DFT, GGA-PBE
State: relaxed

Properties
M_tot, μB per atom: 0.1764
ΔE_f, meV/atom: 787.5
Space group: R-3m (166)
D(E_F), states/eV/cell: 8.96

Cell lengths 5.103, 5.103, 5.103 Å; angles 62.71, 62.71, 62.71 degrees
Sites, in units of the cell vectors:
Nb (0.000, 0.000, 0.000)
Ir (0.500, 0.500, 0.500)
Rh (0.000, 0.500, 0.500)
Rh (0.500, 0.000, 0.500)
Rh (0.500, 0.500, 0.000)

The highest M_tot belongs to which entry? NbIrRh3